Computed, not measured: an optimized crystal structure of Ag12Se3O5 at the GGA-PBE level of DFT.

```
data_Ag12Se3O5
_cell_length_a 14.3442
_cell_length_b 14.3442
_cell_length_c 14.3442
_cell_angle_alpha 90.00
_cell_angle_beta 90.00
_cell_angle_gamma 90.00
_symmetry_space_group_name_H-M 'I a -3 d'
_symmetry_Int_Tables_number 230
_symmetry_space_group_name_Hall '-I 4bd 2c 3'
loop_
_atom_site_label
_atom_site_fract_x
_atom_site_fract_y
_atom_site_fract_z
Ag1 0.0332 0.0675 0.6477
Se1 0.0000 0.2500 0.1250
O1 0.0000 0.0000 0.0000
O2 0.0000 0.2500 0.3750
```

Values from the calculation:
For the size of the total moment, the calculation gives 0.00 μB per formula unit. The raw formation energy is 0.05 eV per atom.